Ca3Si5Ir6 | Alexandria via LeMat-Bulk | PBE | relaxed; spin magnetization = 0.000 μB per formula unit; uncorrected formation energy = -11.5 eV/f.u.; uncorrected energy = -6.98 eV per atom
1.0
3.979 0.000 0.000
0.000 12.560 0.000
0.000 0.000 9.770
Ca Si Ir
6 10 12
Cartesian
0.995 1.239 2.434
0.995 5.041 2.434
0.995 9.420 2.556
2.984 3.140 7.214
2.984 7.519 7.336
2.984 11.321 7.336
0.995 0.921 8.285
0.995 5.359 8.285
0.995 7.855 5.016
0.995 9.420 8.832
0.995 10.985 5.016
2.984 1.575 4.754
2.984 3.140 0.937
2.984 4.705 4.754
2.984 7.201 1.485
2.984 11.639 1.485
0.995 0.652 5.884
0.995 3.140 4.801
0.995 3.140 9.476
0.995 5.628 5.884
0.995 7.287 0.131
0.995 11.553 0.131
2.984 1.007 9.639
2.984 5.273 9.639
2.984 6.932 3.886
2.984 9.420 0.294
2.984 9.420 4.969
2.984 11.908 3.886